Run one
First-principles (PBE-GGA) data for a relaxed structure of LaPr6Dy2, as listed in Alexandria.

Values from the calculation:
symmetry: P-1
total magnetic moment: 0.00 μB per atom

a = 3.6900 Å, b = 9.0218 Å, c = 9.7466 Å
α = 89.40°, β = 79.11°, γ = 89.92°
Last column: nearest neighbours and their distance in Å.
Element x y z (fractional)
La (0.0000, 0.0000, 0.0000)  4 Dy 3.68, 6 Pr 3.68-3.70, 2 La 3.69
Pr (0.1083, 0.6635, 0.7821)  4 Dy 3.63-3.64, 7 Pr 3.67-3.75, 1 La 3.70
Pr (0.2208, 0.3355, 0.5588)  10 Pr 3.66-3.75, 2 Dy 3.66
Pr (0.3339, 0.0013, 0.3328)  2 La 3.68, 9 Pr 3.69-3.73, 1 Dy 3.72
Pr (0.6661, 0.9987, 0.6672)  2 La 3.68, 9 Pr 3.69-3.73, 1 Dy 3.72
Pr (0.7792, 0.6645, 0.4412)  10 Pr 3.66-3.75, 2 Dy 3.66
Pr (0.8917, 0.3365, 0.2179)  4 Dy 3.63-3.64, 7 Pr 3.67-3.75, 1 La 3.70
Dy (0.4446, 0.6656, 0.1105)  7 Pr 3.63-3.72, 3 Dy 3.68-3.69, 2 La 3.68
Dy (0.5554, 0.3344, 0.8895)  7 Pr 3.63-3.72, 3 Dy 3.68-3.69, 2 La 3.68

---

Run two
First-principles (PBE-GGA) data for a relaxed structure of LaPr6Dy2, as listed in Alexandria.

Values from the calculation:
symmetry: P-31m
total magnetic moment: 0.03 μB per atom

a = 10.2264 Å, b = 10.2264 Å, c = 3.5096 Å
α = 90.00°, β = 90.00°, γ = 120.00°
Last column: nearest neighbours and their distance in Å.
Element x y z (fractional)
La (0.0000, 0.0000, 0.0000)  2 La 3.51, 6 Pr 3.58
Pr (0.0000, 0.3419, 0.2253)  2 Dy 3.50, 6 Pr 3.51-3.84, 1 La 3.58
Pr (0.0000, 0.6581, 0.7747)  2 Dy 3.50, 6 Pr 3.51-3.84, 1 La 3.58
Pr (0.3419, 0.0000, 0.2253)  2 Dy 3.50, 6 Pr 3.51-3.84, 1 La 3.58
Pr (0.3419, 0.3419, 0.7747)  2 Dy 3.50, 6 Pr 3.51-3.84, 1 La 3.58
Pr (0.6581, 0.0000, 0.7747)  2 Dy 3.50, 6 Pr 3.51-3.84, 1 La 3.58
Pr (0.6581, 0.6581, 0.2253)  2 Dy 3.50, 6 Pr 3.51-3.84, 1 La 3.58
Dy (0.3333, 0.6667, 0.5000)  6 Pr 3.50, 2 Dy 3.51
Dy (0.6667, 0.3333, 0.5000)  6 Pr 3.50, 2 Dy 3.51

---

Which one sits at the bottom of the stability order? run two does.